1.
# LiNiPO4

A PBEsol-optimized structure of LiNiPO4 (meta-GGA SCAN, Alexandria via LeMat-Bulk).

Uncorrected formation energy, meV per atom: -2201
Volume, Å³ per cell: 849.7
Energy above the lowest structure with this stoichiometry, meV per atom: 64
Total DFT energy (no corrections), eV per atom: -9.8991

Structure (POSCAR):
```
LiNiPO4
1.0
-2.515 -5.434 -3.890
-3.998 -2.917 6.659
-11.508 7.820 -3.484
P O Li Ni
12 48 12 12
direct
0.750 0.050 0.591
0.747 0.588 0.730
0.250 0.450 0.909
0.750 0.610 0.430
0.247 0.912 0.770
0.750 0.110 0.930
0.250 0.950 0.409
0.253 0.412 0.270
0.750 0.550 0.091
0.250 0.390 0.570
0.753 0.088 0.230
0.250 0.890 0.070
0.911 0.217 0.964
0.583 0.088 0.165
0.753 0.721 0.807
0.561 0.967 0.611
0.083 0.412 0.335
0.749 0.615 0.321
0.089 0.783 0.036
0.244 0.077 0.717
0.751 0.115 0.821
0.765 0.929 0.959
0.563 0.181 0.964
0.567 0.600 0.672
0.433 0.400 0.328
0.265 0.571 0.541
0.061 0.533 0.889
0.265 0.402 0.014
0.735 0.598 0.986
0.235 0.071 0.041
0.417 0.912 0.835
0.067 0.900 0.828
0.939 0.467 0.111
0.908 0.941 0.626
0.756 0.211 0.649
0.437 0.819 0.036
0.235 0.902 0.514
0.765 0.098 0.486
0.747 0.221 0.307
0.251 0.385 0.679
0.253 0.779 0.693
0.735 0.429 0.459
0.256 0.577 0.217
0.411 0.283 0.536
0.408 0.559 0.874
0.744 0.711 0.149
0.933 0.100 0.172
0.244 0.789 0.351
0.063 0.319 0.536
0.247 0.279 0.193
0.917 0.588 0.665
0.092 0.059 0.374
0.937 0.681 0.464
0.744 0.423 0.783
0.439 0.033 0.389
0.249 0.885 0.179
0.256 0.289 0.851
0.589 0.717 0.464
0.756 0.923 0.283
0.592 0.441 0.126
0.331 0.075 0.590
0.339 0.575 0.740
0.665 0.902 0.084
0.335 0.098 0.916
0.661 0.425 0.260
0.839 0.925 0.760
0.831 0.425 0.910
0.669 0.925 0.410
0.161 0.075 0.240
0.169 0.575 0.090
0.835 0.402 0.584
0.165 0.598 0.416
0.947 0.749 0.918
0.553 0.249 0.418
0.054 0.749 0.586
0.946 0.251 0.414
0.447 0.751 0.582
0.446 0.249 0.086
0.580 0.247 0.750
0.920 0.747 0.250
0.080 0.253 0.750
0.554 0.751 0.914
0.053 0.251 0.082
0.420 0.753 0.250
```


2.
# LiNiPO4

A PBEsol-optimized structure of LiNiPO4 (meta-GGA SCAN, Alexandria via LeMat-Bulk).

Uncorrected formation energy, meV per atom: -2175
Volume, Å³ per cell: 139.8
Energy above the lowest structure with this stoichiometry, meV per atom: 91
Total DFT energy (no corrections), eV per atom: -9.8727

Structure (POSCAR):
```
LiNiPO4
1.0
4.617 0.000 0.000
-2.308 4.847 0.022
0.000 -1.379 6.240
O Ni P Li
8 2 2 2
direct
0.000 0.336 0.226
0.664 0.664 0.774
0.498 0.258 0.002
0.733 0.671 0.310
0.063 0.329 0.690
0.471 0.167 0.378
0.304 0.833 0.622
0.240 0.742 0.998
0.336 0.739 0.294
0.597 0.261 0.706
0.679 0.360 0.224
0.319 0.640 0.776
0.014 0.000 0.500
0.030 0.000 0.000
```


3.
# LiNiPO4

A PBEsol-optimized structure of LiNiPO4 (meta-GGA SCAN, Alexandria via LeMat-Bulk).

Uncorrected formation energy, meV per atom: -2194
Volume, Å³ per cell: 322.7
Energy above the lowest structure with this stoichiometry, meV per atom: 71
Total DFT energy (no corrections), eV per atom: -9.8923

Structure (POSCAR):
```
LiNiPO4
1.0
-0.439 -4.077 2.413
2.090 -3.617 -5.732
9.096 0.715 2.865
O Ni P Li
16 4 4 4
direct
0.234 0.036 0.063
0.128 0.538 0.621
0.734 0.536 0.437
0.188 0.854 0.838
0.688 0.354 0.662
0.812 0.354 0.162
0.318 0.220 0.341
0.766 0.536 0.937
0.818 0.720 0.159
0.872 0.038 0.379
0.682 0.720 0.659
0.182 0.220 0.841
0.628 0.038 0.879
0.312 0.854 0.338
0.266 0.036 0.563
0.372 0.538 0.121
0.715 0.287 0.355
0.285 0.787 0.645
0.215 0.787 0.145
0.785 0.287 0.855
0.306 0.037 0.905
0.806 0.537 0.595
0.194 0.037 0.405
0.694 0.537 0.095
0.796 0.787 0.847
0.204 0.287 0.153
0.296 0.287 0.653
0.704 0.787 0.347
```


4.
# LiNiPO4

A PBEsol-optimized structure of LiNiPO4 (meta-GGA SCAN, Alexandria via LeMat-Bulk).

Uncorrected formation energy, meV per atom: -2216
Volume, Å³ per cell: 122.1
Energy above the lowest structure with this stoichiometry, meV per atom: 50
Total DFT energy (no corrections), eV per atom: -9.9138

Structure (POSCAR):
```
LiNiPO4
1.0
-2.033 -3.185 -4.002
-2.420 -4.839 1.295
-5.509 -0.490 -0.596
P O Ni Li
2 8 2 2
direct
0.632 0.618 0.118
0.368 0.382 0.882
0.259 0.718 0.764
0.281 0.739 0.239
0.259 0.264 0.218
0.741 0.282 0.236
0.741 0.739 0.239
0.719 0.261 0.761
0.259 0.261 0.761
0.741 0.736 0.782
0.000 0.500 0.500
0.000 0.000 0.000
0.500 0.000 0.500
0.000 0.000 0.500
```


5.
# LiNi4P3O12

A PBEsol-optimized structure of LiNi4P3O12 (meta-GGA SCAN, Alexandria via LeMat-Bulk).

Uncorrected formation energy, meV per atom: -2040
Volume, Å³ per cell: 911.6
Energy above the lowest structure with this stoichiometry, meV per atom: 45
Total DFT energy (no corrections), eV per atom: -10.6931

Structure (POSCAR):
```
LiNi4P3O12
1.0
6.036 0.000 0.000
0.000 9.407 0.000
0.000 0.000 16.056
O Ni Li P
48 16 4 12
direct
0.704 0.659 0.409
0.500 0.384 0.746
0.000 0.631 0.979
0.500 0.637 0.548
0.201 0.897 0.616
0.291 0.108 0.820
0.500 0.618 0.829
0.291 0.892 0.180
0.000 0.379 0.725
0.500 0.879 0.775
0.500 0.103 0.688
0.000 0.603 0.812
0.704 0.341 0.591
0.000 0.369 0.021
0.799 0.103 0.384
0.709 0.108 0.820
0.000 0.118 0.671
0.299 0.603 0.116
0.701 0.603 0.116
0.296 0.659 0.409
0.791 0.608 0.680
0.799 0.897 0.616
0.209 0.608 0.680
0.000 0.863 0.048
0.796 0.159 0.091
0.000 0.884 0.754
0.204 0.159 0.091
0.000 0.137 0.952
0.796 0.841 0.909
0.204 0.841 0.909
0.500 0.121 0.225
0.299 0.397 0.884
0.000 0.882 0.329
0.296 0.341 0.591
0.000 0.116 0.246
0.500 0.382 0.171
0.000 0.621 0.275
0.500 0.131 0.521
0.500 0.363 0.452
0.701 0.397 0.884
0.500 0.869 0.479
0.000 0.397 0.188
0.500 0.897 0.312
0.709 0.892 0.180
0.201 0.103 0.384
0.500 0.616 0.254
0.209 0.392 0.320
0.791 0.392 0.320
0.749 0.247 0.702
0.000 0.538 0.091
0.751 0.253 0.202
0.500 0.495 0.360
0.000 0.995 0.140
0.749 0.753 0.298
0.251 0.247 0.702
0.500 0.505 0.640
0.500 0.962 0.591
0.500 0.038 0.409
0.251 0.753 0.298
0.751 0.747 0.798
0.000 0.462 0.909
0.249 0.253 0.202
0.000 0.005 0.860
0.249 0.747 0.798
0.500 0.779 0.084
0.000 0.721 0.584
0.000 0.279 0.416
0.500 0.221 0.916
0.000 0.458 0.281
0.000 0.542 0.719
0.500 0.294 0.536
0.500 0.706 0.464
0.500 0.958 0.219
0.500 0.546 0.162
0.000 0.954 0.662
0.500 0.042 0.781
0.000 0.794 0.964
0.000 0.046 0.338
0.500 0.454 0.838
0.000 0.206 0.036
```


6.
# LiNiPO4

A PBEsol-optimized structure of LiNiPO4 (meta-GGA SCAN, Alexandria via LeMat-Bulk).

Uncorrected formation energy, meV per atom: -2154
Volume, Å³ per cell: 329.5
Energy above the lowest structure with this stoichiometry, meV per atom: 111
Total DFT energy (no corrections), eV per atom: -9.8520

Structure (POSCAR):
```
LiNiPO4
1.0
5.194 0.000 0.000
0.000 7.863 -0.046
0.000 -2.041 8.080
Li O P Ni
4 16 4 4
direct
0.163 0.967 0.073
0.330 0.498 0.775
0.670 0.498 0.275
0.837 0.967 0.573
0.168 0.872 0.496
0.230 0.221 0.180
0.684 0.821 0.695
0.674 0.574 0.835
0.352 0.055 0.909
0.631 0.322 0.056
0.648 0.055 0.409
0.316 0.821 0.195
0.770 0.221 0.680
0.105 0.696 0.764
0.798 0.369 0.437
0.369 0.322 0.556
0.326 0.574 0.335
0.895 0.696 0.264
0.832 0.872 0.996
0.202 0.369 0.937
0.823 0.740 0.823
0.643 0.245 0.518
0.177 0.740 0.323
0.357 0.245 0.018
0.322 0.881 0.705
0.843 0.377 0.888
0.157 0.377 0.388
0.678 0.881 0.205
```


7.
# LiNiPO4

A PBEsol-optimized structure of LiNiPO4 (meta-GGA SCAN, Alexandria via LeMat-Bulk).

Uncorrected formation energy, meV per atom: -2205
Volume, Å³ per cell: 427.5
Energy above the lowest structure with this stoichiometry, meV per atom: 60
Total DFT energy (no corrections), eV per atom: -9.9034

Structure (POSCAR):
```
LiNiPO4
1.0
-1.651 5.304 4.692
-1.551 -6.913 1.635
8.382 -0.934 4.005
Ni Li O P
6 6 24 6
direct
0.475 0.408 0.524
0.068 0.592 0.024
0.525 0.932 0.024
0.592 0.068 0.524
0.932 0.525 0.524
0.408 0.475 0.024
0.208 0.948 0.248
0.740 0.792 0.248
0.948 0.208 0.748
0.792 0.740 0.748
0.052 0.260 0.248
0.260 0.052 0.748
0.154 0.706 0.379
0.875 0.106 0.558
0.000 0.000 0.334
0.503 0.108 0.175
0.395 0.892 0.675
0.230 0.125 0.558
0.108 0.503 0.675
0.125 0.230 0.058
0.667 0.333 0.394
0.333 0.667 0.894
0.846 0.552 0.879
0.894 0.770 0.558
0.106 0.875 0.058
0.294 0.448 0.379
0.552 0.846 0.379
0.000 0.000 0.834
0.892 0.395 0.175
0.333 0.667 0.158
0.770 0.894 0.058
0.706 0.154 0.879
0.667 0.333 0.658
0.497 0.605 0.675
0.448 0.294 0.879
0.605 0.497 0.175
0.333 0.667 0.723
0.667 0.333 0.223
0.000 0.000 0.998
0.333 0.667 0.330
0.000 0.000 0.498
0.667 0.333 0.830
```


8.
# Li3Ni2P3O12

A PBEsol-optimized structure of Li3Ni2P3O12 (meta-GGA SCAN, Alexandria via LeMat-Bulk).

Uncorrected formation energy, meV per atom: -2171
Volume, Å³ per cell: 386.1
Energy above the lowest structure with this stoichiometry, meV per atom: 0
Total DFT energy (no corrections), eV per atom: -9.4455

Structure (POSCAR):
```
Li3Ni2P3O12
1.0
6.083 0.016 0.019
-2.209 8.027 -0.074
-2.209 -1.394 7.906
O P Ni Li
24 6 4 6
direct
0.172 0.956 0.601
0.266 0.261 0.530
0.399 0.005 0.336
0.899 0.336 0.005
0.766 0.530 0.261
0.019 0.173 0.742
0.828 0.044 0.399
0.396 0.848 0.853
0.981 0.827 0.258
0.604 0.152 0.147
0.896 0.853 0.848
0.672 0.601 0.956
0.234 0.470 0.739
0.201 0.457 0.301
0.299 0.699 0.543
0.328 0.399 0.044
0.519 0.742 0.173
0.101 0.664 0.995
0.481 0.258 0.827
0.601 0.995 0.664
0.701 0.301 0.457
0.799 0.543 0.699
0.104 0.147 0.152
0.734 0.739 0.470
0.750 0.714 0.286
0.250 0.286 0.714
0.634 0.137 0.336
0.866 0.664 0.863
0.366 0.863 0.664
0.134 0.336 0.137
0.129 0.051 0.376
0.871 0.949 0.624
0.629 0.376 0.051
0.371 0.624 0.949
0.250 0.711 0.289
0.750 0.031 0.969
0.000 0.500 0.500
0.500 0.500 0.500
0.750 0.289 0.711
0.250 0.969 0.031
```